A crystal of MgH12I8O6 relaxed with PBEsol. Source: Alexandria via LeMat-Bulk, functional meta-GGA SCAN.

Structure (extended XYZ):
```
27
Lattice="7.392 0.000 0.000 1.925 8.712 0.000 3.435 3.538 7.866" Properties=species:S:1:pos:R:3 pbc="T T T"
Mg 0.000 0.000 0.000
H 3.794 5.430 5.938
H 5.486 9.753 6.726
H 4.128 4.024 5.261
H 4.170 8.857 1.593
H 2.488 1.080 0.307
H 6.894 10.013 7.437
H 5.859 2.237 0.430
H 10.265 11.171 7.559
H 8.583 3.394 6.273
H 8.625 8.226 2.605
H 7.267 2.497 1.140
H 8.959 6.820 1.928
I 1.789 4.065 2.028
I 4.692 7.037 3.340
I 4.316 2.443 3.356
I 7.147 6.442 6.974
I 5.606 5.808 0.892
I 8.437 9.807 4.510
I 8.061 5.213 4.527
I 10.964 8.185 5.838
O 3.982 4.484 6.125
O 6.041 10.435 7.172
O 1.857 0.453 0.743
O 10.896 11.797 7.123
O 6.711 1.816 0.694
O 8.771 7.766 1.741
```

## Properties
Space-group type   P-1 (2)
DFT total energy   -401.80 eV per formula unit



A crystal of MgSbHI2 relaxed with PBEsol. Source: Alexandria via LeMat-Bulk, functional meta-GGA SCAN.

Structure (extended XYZ):
```
5
Lattice="5.552 0.000 0.000 0.000 5.552 0.000 0.000 0.000 3.923" Properties=species:S:1:pos:R:3 pbc="T T T"
Mg 0.000 0.000 0.000
Sb 2.776 2.776 0.000
H 2.776 2.776 1.961
I 0.000 2.776 1.961
I 2.776 0.000 1.961
```

## Properties
Space-group type   P4/mmm (123)
DFT total energy   -117.85 eV per formula unit



A crystal of MgTe2HI relaxed with PBEsol. Source: Alexandria via LeMat-Bulk, functional meta-GGA SCAN.

Structure (extended XYZ):
```
5
Lattice="5.439 0.000 0.000 0.000 5.439 0.000 0.000 0.000 5.716" Properties=species:S:1:pos:R:3 pbc="T T T"
Mg 0.000 0.000 0.000
Te 0.000 2.719 0.000
Te 2.719 0.000 0.000
H 2.719 2.719 2.858
I 0.000 0.000 2.858
```

## Properties
Space-group type   P4/mmm (123)
DFT total energy   -117.23 eV per formula unit



A crystal of Mg2ZrHI relaxed with PBEsol. Source: Alexandria via LeMat-Bulk, functional meta-GGA SCAN.

Structure (extended XYZ):
```
5
Lattice="5.128 0.000 0.000 0.000 5.128 0.000 0.000 0.000 3.784" Properties=species:S:1:pos:R:3 pbc="T T T"
Mg 0.000 2.564 0.000
Mg 2.564 0.000 0.000
Zr 0.000 0.000 1.892
H 0.000 0.000 0.000
I 2.564 2.564 1.892
```

## Properties
Space-group type   P4/mmm (123)
DFT total energy   -80.16 eV per formula unit